1.
A plane-wave DFT calculation with PBE-GGA was carried out for a geometry-optimized PaCu2Au2 structure.

a = 3.2064 Å, b = 4.5525 Å, c = 12.4285 Å
α = 89.97°, β = 90.00°, γ = 90.00°
Site moments in Bohr magnetons follow the coordinates.
Fractional positions:
Pa1 0.7500 0.2493 0.7526  0.88
Pa2 0.2500 0.7507 0.2474  0.88
Au1 0.2500 0.7492 0.8570  0.01
Au2 0.7500 0.2508 0.1430  0.01
Au3 0.2500 0.2499 0.5374  0.01
Au4 0.7500 0.7501 0.4626  0.01
Cu1 0.2500 0.7497 0.6446  0.00
Cu2 0.7500 0.2503 0.3554  0.00
Cu3 0.7500 0.7508 0.0283  0.01
Cu4 0.2500 0.2492 0.9717  0.01

## Properties
Space group: P2_1/m, No. 11
V (Å³ per cell): 181.4
Uncorrected energy (eV/atom): -4.97
Formation energy from the elements (eV per formula unit): -0.60



2.
A plane-wave DFT calculation with PBE-GGA was carried out for a geometry-optimized PaCu4Au structure.

a = 5.0621 Å, b = 5.0621 Å, c = 5.0621 Å
α = 60.00°, β = 60.00°, γ = 60.00°
Fractional positions:
Cu1 0.6259 0.6259 0.1222
Cu2 0.6259 0.6259 0.6259
Cu3 0.1222 0.6259 0.6259
Cu4 0.6259 0.1222 0.6259
Pa1 0.2500 0.2500 0.2500
Au1 0.0000 0.0000 0.0000

## Properties
Space group: F-43m, No. 216
V (Å³ per cell): 91.7
Uncorrected energy (eV/atom): -5.07
Formation energy from the elements (eV per formula unit): -1.29



3.
A plane-wave DFT calculation with PBE-GGA was carried out for a geometry-optimized PaCu4Au8 structure.

a = 5.2897 Å, b = 7.0260 Å, c = 7.0260 Å
α = 81.85°, β = 67.89°, γ = 67.89°
Site moments in Bohr magnetons follow the coordinates.
Fractional positions:
Au1 0.0000 0.3365 0.6635  0.00
Au2 0.3365 0.6635 0.6635  0.00
Au3 0.5000 0.2165 0.7835  0.00
Au4 0.2835 0.2165 0.2165  0.00
Au5 0.6635 0.3365 0.3365  0.00
Au6 0.0000 0.6635 0.3365  0.00
Au7 0.7165 0.7835 0.7835  0.00
Au8 0.5000 0.7835 0.2165  0.00
Cu1 0.5000 0.5000 0.0000  0.00
Cu2 0.5000 0.0000 0.5000  0.00
Cu3 0.0000 0.0000 0.5000  0.00
Cu4 0.0000 0.5000 0.0000  0.00
Pa1 0.0000 0.0000 0.0000  0.54

## Properties
Space group: I4/mmm, No. 139
V (Å³ per cell): 224.1
Uncorrected energy (eV/atom): -4.16
Formation energy from the elements (eV per formula unit): -1.93



4.
A plane-wave DFT calculation with PBE-GGA was carried out for a geometry-optimized PaCuPdAu structure.

a = 4.7264 Å, b = 4.7264 Å, c = 4.7264 Å
α = 60.00°, β = 60.00°, γ = 60.00°
Fractional positions:
Au1 0.5000 0.5000 0.5000
Pd1 0.2500 0.2500 0.2500
Cu1 0.7500 0.7500 0.7500
Pa1 0.0000 0.0000 0.0000

## Properties
Space group: F-43m, No. 216
V (Å³ per cell): 74.7
Uncorrected energy (eV/atom): -5.79
Formation energy from the elements (eV per formula unit): -1.09



5.
A plane-wave DFT calculation with PBE-GGA was carried out for a geometry-optimized PuPaCuAu structure.

a = 5.0161 Å, b = 5.0161 Å, c = 5.0161 Å
α = 60.00°, β = 60.00°, γ = 60.00°
Site moments in Bohr magnetons follow the coordinates.
Fractional positions:
Cu1 0.2500 0.2500 0.2500  0.01
Pa1 0.0000 0.0000 0.0000  0.83
Pu1 0.5000 0.5000 0.5000  5.33
Au1 0.7500 0.7500 0.7500  0.01

## Properties
Space group: F-43m, No. 216
V (Å³ per cell): 89.2
Uncorrected energy (eV/atom): -7.82
Formation energy from the elements (eV per formula unit): -0.06



6.
A plane-wave DFT calculation with PBE-GGA was carried out for a geometry-optimized PuPaCuAu structure.

a = 4.8502 Å, b = 4.8502 Å, c = 4.8502 Å
α = 60.00°, β = 60.00°, γ = 60.00°
Site moments in Bohr magnetons follow the coordinates.
Fractional positions:
Cu1 0.0000 0.0000 0.0000  0.00
Pa1 0.5000 0.5000 0.5000  1.27
Pu1 0.7500 0.7500 0.7500  5.51
Au1 0.2500 0.2500 0.2500  0.02

## Properties
Space group: F-43m, No. 216
V (Å³ per cell): 80.7
Uncorrected energy (eV/atom): -7.96
Formation energy from the elements (eV per formula unit): -0.62



7.
A plane-wave DFT calculation with PBE-GGA was carried out for a geometry-optimized PaCuRhAu structure.

a = 4.7256 Å, b = 4.7256 Å, c = 4.7256 Å
α = 60.00°, β = 60.00°, γ = 60.00°
Fractional positions:
Cu1 0.2500 0.2500 0.2500
Au1 0.5000 0.5000 0.5000
Pa1 0.7500 0.7500 0.7500
Rh1 0.0000 0.0000 0.0000

## Properties
Space group: F-43m, No. 216
V (Å³ per cell): 74.6
Uncorrected energy (eV/atom): -6.34
Formation energy from the elements (eV per formula unit): -1.14



8.
A plane-wave DFT calculation with PBE-GGA was carried out for a geometry-optimized PaCuSiAu structure.

a = 4.6951 Å, b = 4.6951 Å, c = 4.6951 Å
α = 60.00°, β = 60.00°, γ = 60.00°
Site moments in Bohr magnetons follow the coordinates.
Fractional positions:
Au1 0.5000 0.5000 0.5000  0.01
Si1 0.7500 0.7500 0.7500  0.01
Cu1 0.2500 0.2500 0.2500  0.00
Pa1 0.0000 0.0000 0.0000  0.21

## Properties
Space group: F-43m, No. 216
Formation energy from raw total energies (eV/atom): -0.100
V (Å³ per cell): 73.2
Uncorrected energy (eV/atom): -5.67



What did the second record say?
A plane-wave DFT calculation with PBE-GGA was carried out for a geometry-optimized PaCu4Au structure.

a = 5.0621 Å, b = 5.0621 Å, c = 5.0621 Å
α = 60.00°, β = 60.00°, γ = 60.00°
Fractional positions:
Cu1 0.6259 0.6259 0.1222
Cu2 0.6259 0.6259 0.6259
Cu3 0.1222 0.6259 0.6259
Cu4 0.6259 0.1222 0.6259
Pa1 0.2500 0.2500 0.2500
Au1 0.0000 0.0000 0.0000

## Properties
Space group: F-43m, No. 216
V (Å³ per cell): 91.7
Uncorrected energy (eV/atom): -5.07
Formation energy from the elements (eV per formula unit): -1.29



- Look up the uncorrected energy of the third one.
  -4.16 eV/atom



- Which value of V does entry 7 give?
  74.6 Å³ per cell